The following is a DFT calculation (PBE-GGA) of La3Tb2Mg after structural relaxation.

## Properties
E_form ... 7 kJ/mol of atoms
D(E_F) ... 34.989 states/eV/cell
Energy ... -4.20 eV/atom

a b c (Å): 3.7833 17.5543 12.0092
angles (deg): 90.00 90.00 90.00
Closest atoms and distances in Å follow each position.
Space group Cmmm (No. 65)
Asymmetric unit:
La: 0.0000 0.0000 0.2379 x4  4 Tb 3.43-3.67, 6 La 3.52-3.78
La: 0.0000 0.3321 0.2638 x8  2 Mg 3.41, 6 La 3.45-3.78, 2 Tb 3.69
Tb: 0.0000 0.1656 0.0000 x4  6 Tb 3.47-3.78, 4 La 3.69
Tb: 0.0000 0.5000 0.0000 x2  4 La 3.43, 6 Tb 3.47-3.78
Tb: 0.0000 0.5000 0.5000 x2  4 Mg 3.58, 4 La 3.67, 2 Tb 3.78
Mg: 0.0000 0.1730 0.5000 x4  2 Mg 3.30, 4 La 3.41, 2 Tb 3.58